# Cs2AuC (GGA-PBE, optimized geometry)
data_Cs2AuC
_chemical_formula_sum 'Cs2 Au1 C1'
_cell_length_a 6.0127
_cell_length_b 6.0127
_cell_length_c 6.0127
_cell_angle_alpha 60.00
_cell_angle_beta 60.00
_cell_angle_gamma 60.00
_symmetry_space_group_name_H-M 'P 1'
_symmetry_Int_Tables_number 1
loop_
_symmetry_equiv_pos_as_xyz
'x,y,z'
loop_
_atom_site_label
_atom_site_type_symbol
_atom_site_fract_x
_atom_site_fract_y
_atom_site_fract_z
Cs1 Cs 0.2500 0.2500 0.2500
Cs2 Cs 0.7500 0.7500 0.7500
Au1 Au 0.0000 0.0000 0.0000
C1 C 0.5000 0.5000 0.5000
# **M_tot**: 0.750 μB/atom
# **Calculated volume**: 38.43 A^3/atom
# **N(E_F)**: 0.000 states/eV/atom
# **Space-group type**: Fm-3m
# **Crystal system**: cubic
# **Formation enthalpy at 0 K**: 1001 meV/atom
# **Total DFT energy (no corrections)**: -2.55 eV per atom